1.
The following is a DFT calculation (PBE) of crystalline Ac2ThZn3 at its relaxed geometry.

Cell: 3.8142 3.8142 11.5288 Å, 90.00 90.00 90.00°
With the nearest neighbours (Å) after each atom.
Space group P4/mmm (No. 123)
One atom of each set of equivalent atoms:
1 Ac 0.0000 0.0000 0.1752 x2  8 Zn 3.37-3.39, 1 Th 3.74
2 Th 0.0000 0.0000 0.5000 x1  8 Zn 3.19
3 Zn 0.5000 0.5000 0.0000 x1  8 Ac 3.37
4 Zn 0.5000 0.5000 0.3527 x2  4 Th 3.19, 4 Ac 3.39, 1 Zn 3.40

Computed properties:
The total magnetic moment is 0.00 μB/atom. As for the density of states at the Fermi level: 1.076 states/eV/atom. As for the calculated volume: 168 Å³/cell.

2.
The following is a DFT calculation (PBE) of crystalline AcTh4Zn5 at its relaxed geometry.

Cell: 3.7113 3.7113 18.5886 Å, 90.00 90.00 90.00°
With the nearest neighbours (Å) after each atom.
Space group P4/mmm (No. 123)
One atom of each set of equivalent atoms:
1 Ac 0.0000 0.0000 0.0000 x1  8 Zn 3.35, 4 Ac 3.71
2 Th 0.0000 0.0000 0.2080 x2  8 Zn 3.17-3.19
3 Th 0.0000 0.0000 0.4029 x2  8 Zn 3.19
4 Zn 0.5000 0.5000 0.1123 x2  4 Th 3.17, 4 Ac 3.35
5 Zn 0.5000 0.5000 0.3053 x2  8 Th 3.19
6 Zn 0.5000 0.5000 0.5000 x1  8 Th 3.19

Computed properties:
The total magnetic moment is 0.00 μB/atom. As for the density of states at the Fermi level: 0.629 states/eV/atom. As for the calculated volume: 256 Å³/cell.

3.
The following is a DFT calculation (PBE) of crystalline Ac2ThZn at its relaxed geometry.

Cell: 3.8164 3.8164 9.2967 Å, 90.00 90.00 90.00°
With the nearest neighbours (Å) after each atom.
Space group P4/mmm (No. 123)
One atom of each set of equivalent atoms:
1 Ac 0.0000 0.0000 0.2198 x2  4 Zn 3.38, 4 Th 3.75
2 Th 0.5000 0.5000 0.5000 x1  8 Ac 3.75, 4 Th 3.82
3 Zn 0.5000 0.5000 0.0000 x1  8 Ac 3.38

Computed properties:
The total magnetic moment is 0.00 μB/atom. As for the energy above the most stable polymorph in this dataset: 0 meV/atom. As for the density of states at the Fermi level: 0.992 states/eV/atom. As for the calculated volume: 135 Å³/cell.

| no. | ΔE_f (meV per atom) | VASP energy (eV per atom) |
| --- | --- | --- |
| 1 | -202 | -3.445 |
| 2 | -178 | -4.194 |
| 3 | -42 | -4.270 |